# 1
9
Lattice="-5.3098 5.3098 2.5074 5.3098 -5.3098 2.5074 5.3098 5.3098 -2.5074" Properties=species:S:1:pos:R:3 comment="Dy4Ho4Th PBE relaxed" formation_enthalpy_0k_ev_per_fu=0.3 volume_a3_per_atom=31.419 spacegroup="I4/mmm (139)" density_kg_m3=9054 pbc="T T T"
Dy 3.5215 0.0000 0.0000
Dy 7.0981 0.0000 0.0000
Dy 0.0000 3.5215 0.0000
Dy 0.0000 7.0981 0.0000
Ho 3.5625 3.5625 0.0000
Ho 1.7473 -1.7473 2.5074
Ho -1.7473 1.7473 2.5074
Ho 1.7473 1.7473 2.5074
Th 0.0000 0.0000 0.0000



# 2
11
Lattice="5.0828 -6.6105 0.0000 5.0828 6.6105 0.0000 0.0000 0.0000 5.3590" Properties=species:S:1:pos:R:3 comment="Dy8Ho2Th PBE relaxed" formation_enthalpy_0k_ev_per_fu=2.0 volume_a3_per_atom=32.739 relative_energy_mev_per_atom=153.8 spacegroup="Cmmm (65)" density_kg_m3=8585 pbc="T T T"
Dy 1.6820 0.0000 0.0000
Dy 3.4096 1.7481 2.6795
Dy 5.0828 3.3469 0.0000
Dy 3.4096 -1.7481 2.6795
Dy 6.7561 1.7481 2.6795
Dy 5.0828 -3.3469 0.0000
Dy 6.7561 -1.7481 2.6795
Dy 8.4837 0.0000 0.0000
Ho 5.0828 5.0136 2.6795
Ho 5.0828 -5.0136 2.6795
Th 5.0828 0.0000 0.0000



# 3
14
Lattice="-4.7705 4.7705 5.0168 4.7705 -4.7705 5.0168 4.7705 4.7705 -5.0168" Properties=species:S:1:pos:R:3 comment="Dy8Ho5Th PBE relaxed" formation_enthalpy_0k_ev_per_fu=4.1 volume_a3_per_atom=32.620 spacegroup="I-4 (82)" density_kg_m3=8569 pbc="T T T"
Dy 1.6483 -0.8800 2.5216
Dy 3.1222 5.6505 -2.4952
Dy 0.6583 3.1130 0.9181
Dy 3.8905 3.1222 2.4952
Dy -0.6583 6.4280 0.9181
Dy -1.6575 4.1122 4.0988
Dy 0.8800 1.6483 7.5121
Dy 1.6575 5.4288 4.0988
Ho 0.0000 0.0000 0.0000
Ho 3.6851 2.7681 -0.7838
Ho 2.0024 -1.0854 5.8006
Ho 1.0854 2.0024 4.2331
Ho 2.7681 5.8559 0.7838
Th 4.7705 0.0000 2.5084



# 4
11
Lattice="9.4017 -3.4973 0.0000 9.4017 3.4973 0.0000 -0.2039 0.0000 5.5563" Properties=species:S:1:pos:R:3 comment="DyHo8Th2 PBE relaxed" formation_enthalpy_0k_ev_per_fu=2.2 volume_a3_per_atom=33.217 relative_energy_mev_per_atom=10.0 spacegroup="C2/m (12)" density_kg_m3=8844 pbc="T T T"
Dy 0.0000 0.0000 0.0000
Ho 6.8847 1.6084 1.4581
Ho 3.3710 0.0000 1.2947
Ho 11.7147 1.6084 4.0982
Ho 8.3678 0.0000 4.2358
Ho 10.2316 0.0000 1.3205
Ho 6.8847 -1.6084 1.4581
Ho 15.2284 0.0000 4.2616
Ho 11.7147 -1.6084 4.0982
Th 5.1481 0.0000 4.1055
Th 13.4513 0.0000 1.4508



# 5
19
Lattice="6.6289 3.8272 4.0616 -6.6289 3.8272 4.0616 0.0000 -7.6544 4.0616" Properties=species:S:1:pos:R:3 comment="Dy6Ho12Th PBE relaxed" formation_enthalpy_0k_ev_per_fu=4.2 volume_a3_per_atom=32.540 relative_energy_mev_per_atom=73.2 spacegroup="R-3m (166)" density_kg_m3=8558 pbc="T T T"
Dy -2.9293 -1.6912 5.5853
Dy 0.0000 -3.3825 6.5994
Dy -2.9293 1.6912 6.5994
Dy 2.9293 -1.6912 5.5853
Dy 0.0000 3.3825 5.5853
Dy 2.9293 1.6912 6.5994
Ho -1.6990 -4.7116 4.0616
Ho -4.9299 0.8844 4.0616
Ho 0.0000 -2.0694 2.9633
Ho -1.7921 1.0347 2.9633
Ho 1.6990 -4.7116 4.0616
Ho -3.2309 3.8272 4.0616
Ho 1.7922 1.0347 2.9633
Ho -1.7922 -1.0347 9.2213
Ho 4.9299 0.8844 4.0616
Ho 3.2309 3.8272 4.0616
Ho 1.7922 -1.0347 9.2214
Ho 0.0000 2.0694 9.2214
Th 0.0000 0.0000 6.0923



# 6
18
Lattice="7.0478 -6.3361 0.0000 7.0478 6.3361 0.0000 -1.8236 0.0000 6.4558" Properties=species:S:1:pos:R:3 comment="DyHo6Th2 PBE relaxed" formation_enthalpy_0k_ev_per_fu=1.7 volume_a3_per_atom=32.032 relative_energy_mev_per_atom=114.1 spacegroup="C2/c (15)" density_kg_m3=9309 pbc="T T T"
Dy 5.6801 4.6013 4.8419
Dy 6.5919 -4.6013 1.6140
Ho 2.8104 2.6911 1.5869
Ho 0.1896 1.1636 5.0704
Ho 1.1014 -1.1636 1.8425
Ho 6.1337 1.8686 3.1329
Ho 7.0501 1.8686 0.0950
Ho 1.8986 -2.6911 4.8148
Ho 10.3735 2.6911 1.6410
Ho 5.2220 -1.8686 6.3608
Ho 6.1383 -1.8686 3.3229
Ho 11.1707 1.1636 4.6133
Ho 12.0825 -1.1636 1.3854
Ho 9.4617 -2.6911 4.8689
Th 3.3804 0.2805 4.0563
Th 4.2922 -0.2805 0.8284
Th 7.9799 0.2805 5.6274
Th 8.8917 -0.2805 2.3995



# 7
12
Lattice="8.8368 -2.8565 0.0000 8.8368 2.8565 0.0000 -3.7011 0.0000 7.7969" Properties=species:S:1:pos:R:3 comment="Dy5Ho4Th3 PBE relaxed" formation_enthalpy_0k_ev_per_fu=4.3 volume_a3_per_atom=32.802 spacegroup="C2/m (12)" density_kg_m3=9147 pbc="T T T"
Dy 0.0000 0.0000 0.0000
Dy 5.5450 0.0000 0.8289
Dy 5.0539 0.0000 4.3326
Dy 8.9187 0.0000 3.4642
Dy 8.4276 0.0000 6.9679
Ho -1.9368 0.0000 5.4516
Ho 1.3395 0.0000 5.1034
Ho 12.6331 0.0000 2.6934
Ho 15.9093 0.0000 2.3452
Th 2.3646 0.0000 1.7891
Th 8.8368 0.0000 0.0000
Th 11.6080 0.0000 6.0077



# 8
12
Lattice="5.1010 -5.6425 0.0000 5.1010 5.6425 0.0000 0.0000 0.0000 6.7127" Properties=species:S:1:pos:R:3 comment="Dy2HoTh3 PBE relaxed" formation_enthalpy_0k_ev_per_fu=1.1 volume_a3_per_atom=32.201 spacegroup="Cmcm (63)" density_kg_m3=10194 pbc="T T T"
Dy 3.4005 3.0492 5.0345
Dy 6.8015 3.0492 5.0345
Dy 3.4005 -3.0492 1.6782
Dy 6.8015 -3.0492 1.6782
Ho 5.1010 2.5920 1.6782
Ho 5.1010 -2.5920 5.0345
Th 0.0000 0.0000 0.0000
Th 0.0000 0.0000 3.3564
Th 3.4019 0.0000 0.0000
Th 3.4019 0.0000 3.3564
Th 6.8001 0.0000 0.0000
Th 6.8001 0.0000 3.3564



# 9
12
Lattice="3.4564 -5.7045 0.0000 3.4564 5.7045 0.0000 0.0000 0.0000 11.3202" Properties=species:S:1:pos:R:3 comment="Dy3HoTh2 PBE relaxed" formation_enthalpy_0k_ev_per_fu=3.4 volume_a3_per_atom=37.200 spacegroup="Cmcm (63)" density_kg_m3=8306 pbc="T T T"
Dy 3.4564 5.6769 8.4901
Dy 1.7286 2.8241 8.4901
Dy 1.7286 -2.8241 2.8300
Dy 5.1842 2.8241 8.4901
Dy 5.1842 -2.8241 2.8300
Dy 3.4564 -5.6769 2.8300
Ho 3.4564 0.0283 2.8300
Ho 3.4564 -0.0283 8.4901
Th 1.7359 0.0000 0.0000
Th 1.7359 0.0000 5.6601
Th 5.1769 0.0000 0.0000
Th 5.1769 0.0000 5.6601



# 10
4
Lattice="0.0000 3.8646 3.8646 3.8646 0.0000 3.8646 3.8646 3.8646 0.0000" Properties=species:S:1:pos:R:3 comment="DyHoThTl PBE relaxed" formation_enthalpy_0k_ev_per_fu=0.3 volume_a3_per_atom=28.859 spacegroup="F-43m (216)" density_kg_m3=10988 pbc="T T T"
Dy 0.0000 0.0000 0.0000
Ho 3.8646 3.8646 3.8646
Th 1.9323 1.9323 1.9323
Tl 5.7969 5.7969 5.7969



# 11
8
Lattice="4.9907 0.0000 0.0000 0.0000 4.9907 0.0000 0.0000 0.0000 9.9652" Properties=species:S:1:pos:R:3 comment="DyHo4Tm2Th PBE relaxed" formation_enthalpy_0k_ev_per_fu=0.2 volume_a3_per_atom=31.026 spacegroup="P4/mmm (123)" density_kg_m3=9313 pbc="T T T"
Dy 0.0000 0.0000 0.0000
Ho 0.0000 2.4954 2.4983
Ho 0.0000 2.4954 7.4669
Ho 2.4954 0.0000 2.4983
Ho 2.4954 0.0000 7.4669
Tm 0.0000 0.0000 4.9826
Tm 2.4954 2.4954 0.0000
Th 2.4954 2.4954 4.9826



# 12
20
Lattice="4.6377 -7.4527 0.0000 4.6377 7.4527 0.0000 -0.7060 0.0000 9.1942" Properties=species:S:1:pos:R:3 comment="Dy6HoTm2Th PBE relaxed" formation_enthalpy_0k_ev_per_fu=1.5 volume_a3_per_atom=31.778 spacegroup="C2/c (15)" density_kg_m3=8935 pbc="T T T"
Dy 2.5283 4.1518 1.7141
Dy 3.7230 4.8460 5.1441
Dy 4.4935 4.8460 8.6472
Dy 3.4713 1.7267 3.5869
Dy 6.3941 4.1518 2.8830
Dy 5.4512 1.7267 1.0102
Dy 3.1183 -1.7267 8.1840
Dy 2.1753 -4.1518 6.3112
Dy 5.0982 -1.7267 5.6073
Dy 4.0760 -4.8460 0.5470
Dy 4.8465 -4.8460 4.0501
Dy 6.0411 -4.1518 7.4801
Ho 4.1082 1.2904 6.8957
Ho 4.4612 -1.2904 2.2986
Tm 2.3226 0.7785 0.5101
Tm 1.9696 -0.7785 5.1072
Tm 6.5998 0.7785 4.0870
Tm 6.2468 -0.7785 8.6841
Th 4.4612 6.9288 2.2986
Th 4.1082 -6.9288 6.8957